Entry from Alexandria via LeMat-Bulk: a relaxed HgSbTe4 crystal (PBE-GGA).

Structure (extended XYZ):
```
6
Lattice="0.000 4.517 4.517 4.517 0.000 4.517 4.517 4.517 0.000" Properties=species:S:1:pos:R:3 pbc="T T T"
Te 3.376 3.376 3.376
Te 3.376 5.658 5.658
Te 5.658 3.376 5.658
Te 5.658 5.658 3.376
Hg 6.775 6.775 6.775
Sb 0.000 0.000 0.000
```

Properties
**SG**: F-43m
**Formation energy (no corrections)**: 0.431 eV per atom